# 1
{"formula": "Tm3Bi", "functional": "PBE", "state": "optimized geometry", "m_tot_mub_per_cell": 0.0, "final_energy_ev_per_cell": -37.10, "space_group": "P2_1/m (11)", "cell": [[6.6072, 0.0000, 0.0000], [0.0000, 4.0129, 0.0000], [-1.7633, 0.0000, 9.0912]], "species": ["Tm", "Tm", "Tm", "Tm", "Tm", "Tm", "Bi", "Bi"], "fractional_positions": [[0.0892, 0.2500, 0.3710], [0.2301, 0.2500, 0.9040], [0.4033, 0.7500, 0.6293], [0.5967, 0.2500, 0.3707], [0.7699, 0.7500, 0.0960], [0.9108, 0.7500, 0.6290], [0.2871, 0.7500, 0.1635], [0.7129, 0.2500, 0.8365]]}

# 2
{"formula": "Tm8Bi3", "functional": "PBE", "state": "optimized geometry", "m_tot_mub_per_cell": 0.0, "final_energy_ev_per_cell": -48.29, "space_group": "R-3 (148)", "cell": [[5.0269, 2.9023, 4.1940], [-5.0269, 2.9023, 4.1940], [0.0000, -5.8046, 4.1940]], "species": ["Tm", "Tm", "Tm", "Tm", "Tm", "Tm", "Tm", "Tm", "Bi", "Bi", "Bi"], "fractional_positions": [[0.1606, 0.1606, 0.1606], [0.1938, 0.3693, 0.6018], [0.3693, 0.6018, 0.1938], [0.3982, 0.8062, 0.6307], [0.6018, 0.1938, 0.3693], [0.6307, 0.3982, 0.8062], [0.8062, 0.6307, 0.3982], [0.8394, 0.8394, 0.8394], [0.0000, 0.0000, 0.5000], [0.0000, 0.5000, 0.0000], [0.5000, 0.0000, 0.0000]]}

# 3
{"formula": "Tm5Bi4", "functional": "PBE", "state": "optimized geometry", "m_tot_mub_per_cell": 0.0, "final_energy_ev_per_cell": -43.22, "space_group": "I4/m (87)", "cell": [[-5.9964, 5.9964, 2.1911], [5.9964, -5.9964, 2.1911], [5.9964, 5.9964, -2.1911]], "species": ["Tm", "Tm", "Tm", "Tm", "Tm", "Bi", "Bi", "Bi", "Bi"], "fractional_positions": [[0.0000, 0.0000, 0.0000], [0.2939, 0.6064, 0.9003], [0.3936, 0.2939, 0.6875], [0.6064, 0.7061, 0.3125], [0.7061, 0.3936, 0.0997], [0.0782, 0.7462, 0.8244], [0.2538, 0.0782, 0.3320], [0.7462, 0.9218, 0.6680], [0.9218, 0.2538, 0.1756]]}

# 4
{"formula": "Tm5Bi3", "functional": "PBE", "state": "optimized geometry", "m_tot_mub_per_cell": 0.0, "final_energy_ev_per_cell": -77.69, "space_group": "P6_3/mcm (193)", "cell": [[9.0652, 0.0000, 0.0000], [-4.5326, 7.8507, 0.0000], [0.0000, 0.0000, 6.2969]], "species": ["Tm", "Tm", "Tm", "Tm", "Tm", "Tm", "Tm", "Tm", "Tm", "Tm", "Bi", "Bi", "Bi", "Bi", "Bi", "Bi"], "fractional_positions": [[0.0000, 0.2416, 0.2500], [0.0000, 0.7584, 0.7500], [0.2416, 0.0000, 0.2500], [0.2416, 0.2416, 0.7500], [0.3333, 0.6667, 0.0000], [0.3333, 0.6667, 0.5000], [0.6667, 0.3333, 0.0000], [0.6667, 0.3333, 0.5000], [0.7584, 0.0000, 0.7500], [0.7584, 0.7584, 0.2500], [0.0000, 0.3900, 0.7500], [0.0000, 0.6100, 0.2500], [0.3900, 0.0000, 0.7500], [0.3900, 0.3900, 0.2500], [0.6100, 0.0000, 0.2500], [0.6100, 0.6100, 0.7500]]}

# 5
{"formula": "Tm4Bi", "functional": "PBE", "state": "optimized geometry", "relative_energy_mev_per_atom": 0.0, "m_tot_mub_per_cell": 0.0, "space_group": "Fdd2 (43)", "cell": [[0.0000, 6.5751, 3.7289], [6.5459, 0.0000, 3.7289], [6.5459, 6.5751, 0.0000]], "species": ["Tm", "Tm", "Tm", "Tm", "Tm", "Tm", "Tm", "Tm", "Bi", "Bi"], "fractional_positions": [[0.1715, 0.2888, 0.9586], [0.2888, 0.1715, 0.5811], [0.2914, 0.6689, 0.0785], [0.3117, 0.6883, 0.4426], [0.6689, 0.2914, 0.9612], [0.6883, 0.3117, 0.5574], [0.6926, 0.8074, 0.5617], [0.8074, 0.6926, 0.9383], [0.1151, 0.1151, 0.3849], [0.8651, 0.8651, 0.1349]]}

# 6
{"formula": "Tm3Bi", "functional": "PBE", "state": "optimized geometry", "m_tot_mub_per_cell": 0.3, "final_energy_ev_per_cell": -18.42, "space_group": "Pm-3m (221)", "cell": [[4.8155, 0.0000, 0.0000], [0.0000, 4.8155, 0.0000], [0.0000, 0.0000, 4.8155]], "species": ["Tm", "Tm", "Tm", "Bi"], "fractional_positions": [[0.0000, 0.0000, 0.5000], [0.0000, 0.5000, 0.0000], [0.5000, 0.0000, 0.0000], [0.5000, 0.5000, 0.5000]]}

# 7
{"formula": "Tm5Bi2", "functional": "PBE", "state": "optimized geometry", "relative_energy_mev_per_atom": 78.6, "m_tot_mub_per_cell": 0.0, "space_group": "C2/c (15)", "cell": [[8.1060, -3.2030, 0.0000], [8.1060, 3.2030, 0.0000], [-0.8468, 0.0000, 8.0514]], "species": ["Tm", "Tm", "Tm", "Tm", "Tm", "Tm", "Tm", "Tm", "Tm", "Tm", "Bi", "Bi", "Bi", "Bi"], "fractional_positions": [[0.0932, 0.3534, 0.3035], [0.1837, 0.8163, 0.7500], [0.2705, 0.5137, 0.0566], [0.3534, 0.0932, 0.8035], [0.4863, 0.7296, 0.4434], [0.5137, 0.2705, 0.5566], [0.6466, 0.9068, 0.1965], [0.7296, 0.4863, 0.9434], [0.8163, 0.1837, 0.2500], [0.9068, 0.6466, 0.6965], [0.0627, 0.7391, 0.4092], [0.2609, 0.9373, 0.0908], [0.7391, 0.0627, 0.9092], [0.9373, 0.2609, 0.5908]]}

# 8
{"formula": "Tm5Bi", "functional": "PBE", "state": "optimized geometry", "m_tot_mub_per_cell": 0.0, "final_energy_ev_per_cell": -55.00, "space_group": "Cmmm (65)", "cell": [[4.7973, 0.0000, 0.0000], [0.0000, 14.8262, 0.0000], [0.0000, 0.0000, 4.8720]], "species": ["Tm", "Tm", "Tm", "Tm", "Tm", "Tm", "Tm", "Tm", "Tm", "Tm", "Bi", "Bi"], "fractional_positions": [[0.0000, 0.0000, 0.0000], [0.0000, 0.1645, 0.5000], [0.0000, 0.3274, 0.0000], [0.0000, 0.6726, 0.0000], [0.0000, 0.8355, 0.5000], [0.5000, 0.1726, 0.0000], [0.5000, 0.3355, 0.5000], [0.5000, 0.5000, 0.0000], [0.5000, 0.6645, 0.5000], [0.5000, 0.8274, 0.0000], [0.0000, 0.5000, 0.5000], [0.5000, 0.0000, 0.5000]]}

# 9
{"formula": "Tm3Bi", "functional": "PBE", "state": "optimized geometry", "m_tot_mub_per_cell": 0.0, "final_energy_ev_per_cell": -36.86, "space_group": "Imm2 (44)", "cell": [[3.6694, 0.0000, 0.0000], [0.0000, 10.9351, 0.0000], [0.0000, 0.0000, 5.7736]], "species": ["Tm", "Tm", "Tm", "Tm", "Tm", "Tm", "Bi", "Bi"], "fractional_positions": [[0.0000, 0.0000, 0.0000], [0.0000, 0.2340, 0.3722], [0.0000, 0.7660, 0.3722], [0.5000, 0.2660, 0.8722], [0.5000, 0.5000, 0.5000], [0.5000, 0.7340, 0.8722], [0.0000, 0.5000, 0.0230], [0.5000, 0.0000, 0.5230]]}

# 10
{"formula": "Tm3Bi", "functional": "PBE", "state": "optimized geometry", "m_tot_mub_per_cell": 0.0, "final_energy_ev_per_cell": -150.13, "space_group": "P4_2/n (86)", "cell": [[12.3933, 0.0000, 0.0000], [0.0000, 12.3933, 0.0000], [0.0000, 0.0000, 6.1988]], "species": ["Tm", "Tm", "Tm", "Tm", "Tm", "Tm", "Tm", "Tm", "Tm", "Tm", "Tm", "Tm", "Tm", "Tm", "Tm", "Tm", "Tm", "Tm", "Tm", "Tm", "Tm", "Tm", "Tm", "Tm", "Bi", "Bi", "Bi", "Bi", "Bi", "Bi", "Bi", "Bi"], "fractional_positions": [[0.0350, 0.5708, 0.2413], [0.0708, 0.9650, 0.7413], [0.0989, 0.2219, 0.0353], [0.1444, 0.6667, 0.7168], [0.1667, 0.8556, 0.2168], [0.2219, 0.4011, 0.4647], [0.2781, 0.0989, 0.4647], [0.3333, 0.6444, 0.2168], [0.3556, 0.8333, 0.7168], [0.4011, 0.2781, 0.0353], [0.4292, 0.5350, 0.7413], [0.4650, 0.9292, 0.2413], [0.5350, 0.0708, 0.7587], [0.5708, 0.4650, 0.2587], [0.5989, 0.7219, 0.9647], [0.6444, 0.1667, 0.2832], [0.6667, 0.3556, 0.7832], [0.7219, 0.9011, 0.5353], [0.7781, 0.5989, 0.5353], [0.8333, 0.1444, 0.7832], [0.8556, 0.3333, 0.2832], [0.9011, 0.7781, 0.9647], [0.9292, 0.0350, 0.2587], [0.9650, 0.4292, 0.7587], [0.0522, 0.2107, 0.5377], [0.2107, 0.4478, 0.9623], [0.2893, 0.0522, 0.9623], [0.4478, 0.2893, 0.5377], [0.5522, 0.7107, 0.4623], [0.7107, 0.9478, 0.0377], [0.7893, 0.5522, 0.0377], [0.9478, 0.7893, 0.4623]]}

# 11
{"formula": "Tm3Bi", "functional": "PBE", "state": "optimized geometry", "m_tot_mub_per_cell": 0.0, "final_energy_ev_per_cell": -18.28, "space_group": "Pmm2 (25)", "cell": [[3.6608, 0.0000, 0.0000], [0.0000, 5.3187, 0.0000], [0.0000, 0.0000, 5.9311]], "species": ["Tm", "Tm", "Tm", "Bi"], "fractional_positions": [[0.0000, 0.0000, 0.0000], [0.0000, 0.5000, 0.3726], [0.5000, 0.0000, 0.5148], [0.5000, 0.5000, 0.8616]]}

# 12
{"formula": "TmBi2", "functional": "PBE", "state": "optimized geometry", "m_tot_mub_per_cell": 0.0, "final_energy_ev_per_cell": -25.76, "space_group": "R-3m (166)", "cell": [[2.6138, 1.5091, 8.4618], [-2.6138, 1.5091, 8.4618], [0.0000, -3.0182, 8.4618]], "species": ["Tm", "Tm", "Bi", "Bi", "Bi", "Bi"], "fractional_positions": [[0.0721, 0.0721, 0.0721], [0.9279, 0.9279, 0.9279], [0.1973, 0.1973, 0.1973], [0.3772, 0.3772, 0.3772], [0.6228, 0.6228, 0.6228], [0.8027, 0.8027, 0.8027]]}